#a
DFT (PBE) results for Tb6Tm after structural relaxation.

Geometry as POSCAR:
```
Tb6Tm
1.0
6.454 0.000 0.000
0.000 6.454 0.000
0.000 0.000 11.011
Tb Tm
12 2
direct
0.500 0.500 0.138
0.000 0.000 0.138
0.000 0.000 0.862
0.500 0.500 0.862
0.832 0.668 0.362
0.332 0.832 0.362
0.668 0.168 0.362
0.168 0.332 0.362
0.668 0.832 0.638
0.168 0.668 0.638
0.832 0.332 0.638
0.332 0.168 0.638
0.500 0.000 0.000
0.000 0.500 0.000
```

Computed properties:
D(E_F) = 9.21 states/eV/f.u.

=====

#b
DFT (PBE) results for Tb6Tm after structural relaxation.

Geometry as POSCAR:
```
Tb6Tm
1.0
-1.270 -4.713 4.919
6.278 2.756 1.007
-4.791 4.998 0.298
Tb Tm
6 1
direct
0.250 0.750 0.500
0.500 0.750 0.250
0.250 0.500 0.750
0.750 0.250 0.500
0.500 0.250 0.750
0.750 0.500 0.250
0.000 0.000 0.000
```

Computed properties:
D(E_F) = 6.40 states/eV/f.u.

=====

Stability summary - winner: #a; margin: 1.226 eV/atom.

=====

#a
DFT (PBE) results for TbTm3 after structural relaxation.

Geometry as POSCAR:
```
TbTm3
1.0
-1.258 3.263 -0.763
-5.790 -2.079 0.653
3.660 0.722 5.447
Tm Tb
3 1
direct
0.249 0.583 0.499
0.500 0.501 0.000
0.751 0.084 0.501
0.000 0.999 0.000
```

Computed properties:
D(E_F) = 6.47 states/eV/f.u.

=====

#b
DFT (PBE) results for TbTm3 after structural relaxation.

Geometry as POSCAR:
```
TbTm3
1.0
4.949 0.000 0.000
0.000 4.949 0.000
0.000 0.000 4.949
Tm Tb
3 1
direct
0.000 0.500 0.500
0.500 0.000 0.500
0.500 0.500 0.000
0.000 0.000 0.000
```

Computed properties:
D(E_F) = 5.72 states/eV/f.u.

=====

Stability summary - winner: #a; margin: 0.025 eV/atom.

=====

#a
DFT (PBE) results for TbTm after structural relaxation.

Geometry as POSCAR:
```
TbTm
1.0
-1.201 -2.450 2.209
-1.368 -2.816 -3.866
6.322 -3.088 0.012
Tm Tb
2 2
direct
0.250 0.750 0.124
0.750 0.250 0.876
0.250 0.750 0.626
0.750 0.250 0.374
```

Computed properties:
D(E_F) = 2.20 states/eV/f.u.

=====

#b
DFT (PBE) results for TbTm after structural relaxation.

Geometry as POSCAR:
```
TbTm
1.0
-1.587 -2.981 -2.082
3.435 -1.975 0.208
-1.192 -1.720 3.371
Tm Tb
1 1
direct
0.500 0.500 0.500
0.000 0.000 0.000
```

Computed properties:
D(E_F) = 3.52 states/eV/f.u.

=====

Stability summary - winner: #a; margin: 0.105 eV/atom.

=====

#a
DFT (PBE) results for Tb3Tm7 after structural relaxation.

Geometry as POSCAR:
```
Tb3Tm7
1.0
6.351 0.000 0.000
0.000 10.625 0.000
0.000 -5.312 9.201
Tb Tm
6 14
direct
0.867 0.205 0.410
0.867 0.205 0.795
0.867 0.590 0.795
0.367 0.795 0.590
0.367 0.795 0.205
0.367 0.410 0.205
0.018 0.667 0.333
0.518 0.333 0.667
0.885 0.879 0.758
0.885 0.879 0.121
0.885 0.242 0.121
0.385 0.121 0.242
0.385 0.121 0.879
0.385 0.758 0.879
0.211 0.471 0.942
0.211 0.471 0.529
0.211 0.058 0.529
0.711 0.529 0.058
0.711 0.529 0.471
0.711 0.942 0.471
```

Computed properties:
D(E_F) = 18.46 states/eV/f.u.

=====

#b
DFT (PBE) results for Tb3Tm7 after structural relaxation.

Geometry as POSCAR:
```
Tb3Tm7
1.0
-0.330 -5.356 -1.195
0.922 -1.555 6.718
-7.522 2.521 3.427
Tb Tm
3 7
direct
0.000 0.000 0.000
0.788 0.355 0.575
0.212 0.645 0.425
0.000 0.500 0.000
0.787 0.856 0.575
0.213 0.144 0.425
0.598 0.201 0.196
0.402 0.799 0.804
0.599 0.700 0.197
0.401 0.300 0.803
```

Computed properties:
D(E_F) = 19.57 states/eV/f.u.

=====

Stability summary - winner: #b; margin: 0.140 eV/atom.

=====

#a
DFT (PBE) results for Tb5Tm6 after structural relaxation.

Geometry as POSCAR:
```
Tb5Tm6
1.0
-3.600 4.033 0.717
-1.287 -3.315 -8.559
-1.129 -5.943 7.022
Tb Tm
5 6
direct
0.500 0.500 0.500
0.000 0.662 0.338
0.000 0.338 0.662
0.500 0.800 0.200
0.500 0.200 0.800
0.706 0.206 0.206
0.294 0.794 0.794
0.793 0.655 0.931
0.207 0.069 0.345
0.207 0.345 0.069
0.793 0.931 0.655
```

Computed properties:
D(E_F) = 16.10 states/eV/f.u.

=====

#b
DFT (PBE) results for Tb5Tm6 after structural relaxation.

Geometry as POSCAR:
```
Tb5Tm6
1.0
8.917 0.000 -0.707
4.458 6.445 -0.353
2.330 0.000 5.824
Tb Tm
5 6
direct
0.500 0.000 0.500
0.370 0.259 0.000
0.630 0.741 0.000
0.240 0.520 0.500
0.760 0.480 0.500
0.837 0.000 0.690
0.163 0.000 0.310
0.308 0.739 0.827
0.953 0.739 0.173
0.692 0.261 0.173
0.047 0.261 0.827
```

Computed properties:
D(E_F) = 11.73 states/eV/f.u.

=====

Stability summary - winner: #a; margin: 0.024 eV/atom.

=====

#a
DFT (PBE) results for Tb4Tm5 after structural relaxation.

Geometry as POSCAR:
```
Tb4Tm5
1.0
3.542 0.230 0.527
1.080 8.842 1.106
0.602 -1.489 8.831
Tb Tm
4 5
direct
0.357 0.621 0.666
0.357 0.000 0.288
0.643 0.712 0.000
0.643 0.334 0.379
0.000 0.041 0.959
0.000 0.292 0.708
0.000 0.667 0.333
0.294 0.372 0.039
0.706 0.961 0.628
```

Computed properties:
D(E_F) = 12.55 states/eV/f.u.

=====

#b
DFT (PBE) results for Tb4Tm5 after structural relaxation.

Geometry as POSCAR:
```
Tb4Tm5
1.0
4.957 0.005 0.004
2.480 7.447 -0.489
2.480 0.496 7.446
Tb Tm
4 5
direct
0.333 0.667 0.667
0.333 0.000 0.333
0.667 0.667 0.000
0.667 0.333 0.333
0.000 0.001 0.999
0.000 0.333 0.667
0.000 0.667 0.333
0.334 0.333 0.999
0.666 0.001 0.667
```

Computed properties:
D(E_F) = 12.49 states/eV/f.u.

=====

Stability summary - winner: #b; margin: 0.016 eV/atom.